Material: CuSnPdAu
Method: DFT, PBE
State: optimized geometry

```
CuSnPdAu
1.0
0.000 3.234 3.234
3.234 0.000 3.234
3.234 3.234 0.000
Cu Sn Pd Au
1 1 1 1
Direct
0.000 0.000 0.000
0.750 0.750 0.750
0.500 0.500 0.500
0.250 0.250 0.250
```

Values from the calculation:
Polymorph energy (0 for the lowest one) in meV/atom: 0